Computed, not measured: an optimized crystal structure of Th2BiN at the PBE level of DFT.

```
4
Lattice="3.9309 0.0000 0.0000 1.9655 3.4043 0.0000 1.9655 1.1348 7.3662" Properties=species:S:1:pos:R:3 pbc="T T T"
Th 5.8964 3.4043 5.0151
Th 1.9655 1.1348 2.3511
Bi 0.0000 0.0000 0.0000
N 3.9309 2.2695 3.6831
```

Results
* space group: R-3m, No. 166
* total DFT energy (no corrections): -7.69 eV/atom
* volume: 24.64 Å³ per atom
* magnetization: 0.00 μB per cell
* distance to the lowest polymorph of the same formula: 117.9 meV/atom
* formation energy from raw total energies: -0.9250 eV per atom

Computed, not measured: an optimized crystal structure of Th3BiN at the PBE level of DFT.

```
20
Lattice="6.6041 0.0000 0.0000 0.0000 9.1769 -0.0584 0.0000 -2.9710 8.6818" Properties=species:S:1:pos:R:3 pbc="T T T"
Th 1.6523 -1.2553 7.4477
Th 4.8036 4.1851 0.2609
Th 4.9517 7.4612 1.1757
Th 1.8005 2.0208 8.3625
Th 3.4321 1.4269 2.2443
Th 6.4740 4.5298 6.5560
Th 1.5015 -1.0821 4.0508
Th 5.1025 7.2880 4.5726
Th 3.1719 4.7791 6.3791
Th 1.6497 4.8186 3.0776
Th 0.1301 1.6761 2.0674
Th 4.9544 1.3873 5.5458
Bi 1.6493 8.1505 0.6803
Bi 4.9514 4.1294 3.5730
Bi 4.9547 -1.9446 7.9431
Bi 1.6527 2.0765 5.0504
N 4.2876 3.0323 7.6395
N 2.3165 3.1736 0.9839
N 5.6185 -0.0706 3.3278
N 0.9856 6.2766 5.2956
```

Results
* space group: Cmce, No. 64
* total DFT energy (no corrections): -7.49 eV/atom
* volume: 26.25 Å³ per atom
* magnetization: 0.00 μB per cell
* formation energy from raw total energies: -0.6003 eV per atom